Record 1
Here is an optimized crystal structure of La2GeSe from Alexandria. Energies are from GGA-PBE.

Structure (POSCAR):
```
La2GeSe
1.0
0.000 3.762 3.762
3.762 0.000 3.762
3.762 3.762 0.000
La Ge Se
2 1 1
direct
0.250 0.250 0.250
0.750 0.750 0.750
0.000 0.000 0.000
0.500 0.500 0.500
```

Results
* E above lowest polymorph: 321 meV/atom
* formation energy (no corrections): -1.143 eV/atom
* volume: 106 Å³/cell

=====

Record 2
Here is an optimized crystal structure of TlGaHg3 from Alexandria. Energies are from GGA-PBE.

Structure (POSCAR):
```
TlGaHg3
1.0
8.418 0.000 0.000
0.000 4.809 0.000
-1.779 0.000 13.207
Tl Ga Hg
4 4 12
direct
0.155 0.011 0.261
0.155 0.489 0.761
0.845 0.511 0.239
0.845 0.989 0.739
0.481 0.736 0.058
0.481 0.764 0.558
0.519 0.236 0.442
0.519 0.264 0.942
0.152 0.514 0.088
0.152 0.986 0.588
0.179 0.012 0.936
0.179 0.488 0.436
0.493 0.227 0.180
0.493 0.273 0.680
0.507 0.727 0.320
0.507 0.773 0.820
0.821 0.512 0.564
0.821 0.988 0.064
0.848 0.014 0.412
0.848 0.486 0.912
```

Results
* ΔH_f (0 K): 0.03 eV per atom
* E above lowest polymorph: 13 meV/atom
* volume: 535 Å³/cell

=====

Record 3
Here is an optimized crystal structure of Ho2ErZn2 from Alexandria. Energies are from GGA-PBE.

Structure (POSCAR):
```
Ho2ErZn2
1.0
3.581 0.000 0.000
0.000 5.106 0.000
-1.797 0.000 13.109
Ho Er Zn
4 2 4
direct
0.046 0.250 0.092
0.232 0.250 0.465
0.768 0.750 0.535
0.954 0.750 0.908
0.144 0.750 0.288
0.856 0.250 0.712
0.360 0.750 0.720
0.451 0.250 0.901
0.549 0.750 0.099
0.640 0.250 0.280
```

Results
* ΔH_f (0 K): -0.27 eV per atom
* E above lowest polymorph: 0 meV/atom
* volume: 240 Å³/cell

=====

Record 4
Here is an optimized crystal structure of Sm2ErCd8 from Alexandria. Energies are from GGA-PBE.

Structure (POSCAR):
```
Sm2ErCd8
1.0
7.961 -2.496 0.000
7.961 2.496 0.000
-2.110 0.000 6.758
Sm Er Cd
2 1 8
direct
0.216 0.216 0.149
0.784 0.784 0.851
0.500 0.500 0.500
0.016 0.016 0.218
0.144 0.144 0.633
0.329 0.329 0.608
0.411 0.411 0.041
0.589 0.589 0.959
0.671 0.671 0.392
0.856 0.856 0.367
0.984 0.984 0.782
```

Results
* ΔH_f (0 K): -0.24 eV per atom
* volume: 269 Å³/cell

=====

Record 5
Here is an optimized crystal structure of Dy2SiI3 from Alexandria. Energies are from GGA-PBE.

Structure (POSCAR):
```
Dy2SiI3
1.0
10.323 -2.075 0.000
10.323 2.075 0.000
-9.189 0.000 11.144
Dy Si I
4 2 6
direct
0.102 0.102 0.233
0.375 0.375 0.052
0.625 0.625 0.948
0.898 0.898 0.767
0.057 0.057 0.999
0.943 0.943 0.001
0.180 0.180 0.842
0.258 0.258 0.651
0.463 0.463 0.678
0.537 0.537 0.322
0.742 0.742 0.349
0.820 0.820 0.158
```

Results
* formation energy (no corrections): -0.989 eV/atom
* volume: 477 Å³/cell